TbBi3O6 | GGA-PBE | optimized geometry

Calculated values
- Energy above the most stable polymorph in this dataset: 0.00 eV per formula unit
- Formation energy (no corrections): -1.77 eV per atom
- Energy: -6.3771 eV/atom
- Calculated volume: 1360 Å³ per cell

Lattice parameters (Å, degrees): 11.079 11.079 11.079 90.00 90.00 90.00
Space group Ia-3 (No. 206)
Unique sites:
Tb1 0.000 0.000 0.000 (multiplicity 8)
Bi1 0.000 0.250 0.280 (multiplicity 24)
O1 0.092 0.141 0.626 (multiplicity 48)

---

TbBi2TeO4 | GGA-PBE | optimized geometry

Calculated values
- Formation energy (no corrections): -1.78 eV per atom
- Energy: -6.2023 eV/atom
- Calculated volume: 154 Å³ per cell

Lattice parameters (Å, degrees): 3.896 3.896 10.164 90.00 90.00 90.00
Space group P4/mmm (No. 123)
Unique sites:
Tb1 0.000 0.000 0.000 (multiplicity 1)
Bi1 0.500 0.500 0.249 (multiplicity 2)
Te1 0.000 0.000 0.500 (multiplicity 1)
O1 0.000 0.500 0.138 (multiplicity 4)

---

Tb2TiBiO6 | GGA-PBE | optimized geometry

Calculated values
- Formation energy (no corrections): -2.55 eV per atom
- Energy: -7.6277 eV/atom
- Calculated volume: 157 Å³ per cell

Lattice parameters (Å, degrees): 5.335 5.335 5.510 90.00 90.00 90.00
Space group P4mm (No. 99)
Unique sites:
Tb1 0.000 0.500 0.000 (multiplicity 2)
Ti1 0.000 0.000 0.630 (multiplicity 1)
Bi1 0.500 0.500 0.527 (multiplicity 1)
O1 0.000 0.000 0.298 (multiplicity 1)
O2 0.234 0.234 0.776 (multiplicity 4)
O3 0.500 0.500 0.126 (multiplicity 1)

---

Tb2Tl2BiO6 | GGA-PBE | optimized geometry

Calculated values
- Formation energy (no corrections): -1.95 eV per atom
- Energy: -6.2798 eV/atom
- Calculated volume: 419 Å³ per cell

Lattice parameters (Å, degrees): 6.098 10.517 6.866 90.00 107.91 90.00
Space group C2/m (No. 12)
Unique sites:
Tb1 0.000 0.165 0.000 (multiplicity 4)
Tl1 0.000 0.330 0.500 (multiplicity 4)
Bi1 0.000 0.500 0.000 (multiplicity 2)
O1 0.224 0.332 0.172 (multiplicity 8)
O2 0.232 0.000 0.172 (multiplicity 4)

---

Tb4TlBiO | GGA-PBE | optimized geometry

Calculated values
- Formation energy (no corrections): -1.17 eV per atom
- Energy: -5.4155 eV/atom
- Calculated volume: 726 Å³ per cell

Lattice parameters (Å, degrees): 6.499 17.370 6.429 90.00 90.00 90.00
Space group Cmcm (No. 63)
Unique sites:
Tb1 0.000 0.065 0.250 (multiplicity 4)
Tb2 0.000 0.419 0.250 (multiplicity 4)
Tb3 0.250 0.250 0.000 (multiplicity 8)
Tl1 0.000 0.113 0.750 (multiplicity 4)
Bi1 0.000 0.390 0.750 (multiplicity 4)
O1 0.000 0.284 0.250 (multiplicity 4)

---

TbTlBi2O4 | GGA-PBE | optimized geometry

Calculated values
- Formation energy (no corrections): -1.64 eV per atom
- Energy: -5.9610 eV/atom
- Calculated volume: 162 Å³ per cell

Lattice parameters (Å, degrees): 3.922 3.922 10.512 90.00 90.00 90.00
Space group P4/mmm (No. 123)
Unique sites:
Tb1 0.000 0.000 0.000 (multiplicity 1)
Tl1 0.000 0.000 0.500 (multiplicity 1)
Bi1 0.500 0.500 0.239 (multiplicity 2)
O1 0.000 0.500 0.132 (multiplicity 4)

---

TbTmBiO2 | GGA-PBE | optimized geometry

Calculated values
- Formation energy (no corrections): -2.70 eV per atom
- Energy: -7.2773 eV/atom
- Calculated volume: 202 Å³ per cell

Lattice parameters (Å, degrees): 3.869 3.869 13.522 90.00 90.00 90.00
Space group I4mm (No. 107)
Unique sites:
Tb1 0.000 0.000 0.000 (multiplicity 2)
Tm1 0.000 0.000 0.338 (multiplicity 2)
Bi1 0.000 0.000 0.669 (multiplicity 2)
O1 0.000 0.500 0.415 (multiplicity 4)

---

Tb2TmBi2O2 | GGA-PBE | optimized geometry

Calculated values
- Formation energy (no corrections): -1.83 eV per atom
- Energy: -6.3204 eV/atom
- Calculated volume: 308 Å³ per cell

Lattice parameters (Å, degrees): 4.305 4.305 16.637 90.00 90.00 90.00
Space group I4/mmm (No. 139)
Unique sites:
Tb1 0.000 0.000 0.109 (multiplicity 4)
Tm1 0.000 0.000 0.500 (multiplicity 2)
Bi1 0.000 0.000 0.310 (multiplicity 4)
O1 0.000 0.500 0.000 (multiplicity 4)

---

TbTmBi2O6 | GGA-PBE | optimized geometry

Calculated values
- Formation energy (no corrections): -2.39 eV per atom
- Energy: -7.0514 eV/atom
- Calculated volume: 475 Å³ per cell

Lattice parameters (Å, degrees): 6.0067 6.0067 15.2106 90.00 90.00 120.00
Space group R3 (No. 146, hexagonal axes)
Unique sites:
Tb1 0.0000 0.0000 0.0000 (multiplicity 3)
Tm1 0.0000 0.0000 0.4977 (multiplicity 3)
Bi1 0.0000 0.0000 0.2850 (multiplicity 3)
Bi2 0.0000 0.0000 0.7858 (multiplicity 3)
O1 0.0739 0.3667 0.5571 (multiplicity 9)
O2 0.0754 0.7001 0.0583 (multiplicity 9)

---

| no. | total moment (Bohr magnetons per cell) |
| --- | --- |
| 1 | 0.0 |
| 2 | 0.0 |
| 3 | 0.0 |
| 4 | 0.0 |
| 5 | 0.0 |
| 6 | 0.0 |
| 7 | 0.0 |
| 8 | 0.0 |
| 9 | 0.0 |